Record 1
A plane-wave DFT calculation with PBE was carried out for crystalline PaRePN at its relaxed geometry.

Results
**Raw formation energy**: -1.0922 eV/atom
**VASP energy**: -10.01 eV/atom
**Size of the total moment**: 0.065 μB/f.u.

Unit cell a=3.9833 b=3.9833 c=7.9854 alpha=90.00 beta=90.00 gamma=90.00
With the nearest neighbours (Å) after each atom.
Space group P4/nmm (No. 129, origin choice 2)
Unique sites:
Pa (0.2500, 0.2500, 0.1457) [2 per cell]  4 N 2.31
Re (0.2500, 0.7500, 0.5000) [2 per cell]  4 P 2.39
P (0.2500, 0.2500, 0.6646) [2 per cell]  4 Re 2.39
N (0.2500, 0.7500, 0.0000) [2 per cell]  4 Pa 2.31

Record 2
A plane-wave DFT calculation with PBE was carried out for crystalline LaTb6DyY2 at its relaxed geometry.

Results
**VASP energy**: -4.90 eV/atom
**Size of the total moment**: 0.000 μB/f.u.
**Calculated formation energy**: 1.22 eV per formula unit

Unit cell a=9.4203 b=14.9917 c=9.3589 alpha=90.00 beta=94.08 gamma=90.00
With the nearest neighbours (Å) after each atom.
Space group C2/c (No. 15)
Unique sites:
La (0.0000, 0.0434, 0.2500) [4 per cell]  4 Y 3.40-3.60, 6 Tb 3.50-3.76
Tb (0.0626, 0.1757, 0.9395) [8 per cell]  7 Tb 3.45-3.85, 1 Y 3.53, 2 La 3.60-3.76
Tb (0.0895, 0.3808, 0.1104) [8 per cell]  4 Tb 3.21-3.47, 3 Y 3.33-3.51, 2 Dy 3.45-3.49
Tb (0.2248, 0.2269, 0.3194) [8 per cell]  4 Tb 3.23-3.61, 1 Dy 3.43, 2 Y 3.46-3.55, 1 La 3.50
Dy (0.0000, 0.4125, 0.7500) [4 per cell]  6 Tb 3.43-3.49, 2 Y 3.50
Y (0.2463, 0.4504, 0.4434) [8 per cell]  6 Tb 3.33-3.55, 2 La 3.40-3.60, 1 Dy 3.50

Record 3
A plane-wave DFT calculation with PBE was carried out for crystalline Nd2CuAs4Ir3 at its relaxed geometry.

Results
**VASP energy**: -6.58 eV/atom
**Size of the total moment**: 0.000 μB/f.u.
**Calculated formation energy**: -7.01 eV per formula unit

Unit cell a=4.3605 b=4.3605 c=9.8761 alpha=90.00 beta=90.00 gamma=90.00
With the nearest neighbours (Å) after each atom.
Space group P-4m2 (No. 115)
Unique sites:
Nd (0.0000, 0.5000, 0.2493) [2 per cell]  8 As 3.29-3.30, 2 Cu 3.30, 7 Ir 3.30-3.63
Cu (0.0000, 0.0000, 0.5000) [1 per cell]  4 As 2.54
As (0.0000, 0.0000, 0.0000) [1 per cell]  4 Ir 2.47
As (0.0000, 0.5000, 0.6329) [2 per cell]  3 Ir 2.46-2.54, 2 Cu 2.54
As (0.5000, 0.5000, 0.0000) [1 per cell]  4 Ir 2.47
Ir (0.0000, 0.5000, 0.8821) [2 per cell]  5 As 2.46-2.47
Ir (0.5000, 0.5000, 0.5000) [1 per cell]  4 As 2.54

Record 4
A plane-wave DFT calculation with PBE was carried out for crystalline Ti3AuC at its relaxed geometry.

Results
**VASP energy**: -6.53 eV/atom
**Size of the total moment**: 0.000 μB/f.u.
**Calculated formation energy**: 3.53 eV per formula unit

Unit cell a=4.2689 b=4.2689 c=21.7005 alpha=90.00 beta=90.00 gamma=90.00
With the nearest neighbours (Å) after each atom.
Space group I-4m2 (No. 119)
Unique sites:
Ti (0.0000, 0.0000, 0.1815) [4 per cell]  2 C 2.33, 2 Au 2.60
Ti (0.0000, 0.2369, 0.6177) [8 per cell]  2 Ti 2.02-2.25
Au (0.0000, 0.0000, 0.5000) [2 per cell]  4 Ti 2.75
Au (0.0000, 0.5000, 0.7500) [2 per cell]  4 Ti 2.60
C (0.0000, 0.5000, 0.1388) [4 per cell]  6 Ti 2.33-2.41

Record 5
A plane-wave DFT calculation with PBE was carried out for crystalline Tl3CoBr at its relaxed geometry.

Results
**Raw formation energy**: -0.1295 eV/atom
**VASP energy**: -3.30 eV/atom
**Size of the total moment**: 0.000 μB/f.u.

Unit cell a=5.1552 b=5.1552 c=5.1552 alpha=90.00 beta=90.00 gamma=90.00
With the nearest neighbours (Å) after each atom.
Space group Pm-3m (No. 221)
Unique sites:
Tl (0.0000, 0.0000, 0.5000) [3 per cell]  2 Co 2.58
Co (0.0000, 0.0000, 0.0000) [1 per cell]  6 Tl 2.58
Br (0.5000, 0.5000, 0.5000) [1 per cell]  12 Tl 3.65

Record 6
A plane-wave DFT calculation with PBE was carried out for crystalline MnCuSiIr at its relaxed geometry.

Results
**Raw formation energy**: -0.2327 eV/atom
**VASP energy**: -7.12 eV/atom
**Size of the total moment**: 2.620 μB/f.u.

Unit cell a=5.8687 b=5.8687 c=5.8687 alpha=90.00 beta=90.00 gamma=90.00
With the nearest neighbours (Å) after each atom.
Space group F-43m (No. 216)
Unique sites:
Mn (0.0000, 0.0000, 0.0000) [4 per cell]  4 Si 2.54, 4 Cu 2.54
Cu (0.2500, 0.2500, 0.2500) [4 per cell]  4 Mn 2.54, 4 Ir 2.54
Si (0.2500, 0.2500, 0.7500) [4 per cell]  4 Mn 2.54, 4 Ir 2.54
Ir (0.0000, 0.0000, 0.5000) [4 per cell]  4 Cu 2.54, 4 Si 2.54

Record 7
A plane-wave DFT calculation with PBE was carried out for crystalline Li3Tb3HfTe8 at its relaxed geometry.

Results
**Raw formation energy**: -1.1890 eV/atom
**VASP energy**: -4.84 eV/atom
**Size of the total moment**: 0.000 μB/f.u.

Unit cell a=14.9104 b=8.6092 c=8.6613 alpha=90.00 beta=125.07 gamma=90.00
With the nearest neighbours (Å) after each atom.
Space group C2/m (No. 12)
Unique sites:
Li (0.0000, 0.0000, 0.0000) [2 per cell]  6 Te 3.02
Li (0.2500, 0.2500, 0.0000) [4 per cell]  6 Te 3.02
Tb (0.0000, 0.5000, 0.5000) [2 per cell]  6 Te 3.09
Tb (0.2500, 0.2500, 0.5000) [4 per cell]  6 Te 3.09
Hf (0.0000, 0.0000, 0.5000) [2 per cell]  6 Te 2.94
Te (0.0030, 0.2376, 0.7464) [8 per cell]  1 Hf 2.94, 2 Li 3.02, 2 Tb 3.09
Te (0.2407, 0.0000, 0.7464) [4 per cell]  1 Hf 2.94, 2 Li 3.02, 2 Tb 3.09
Te (0.2471, 0.0000, 0.2417) [4 per cell]  3 Li 3.02, 3 Tb 3.09

Record 8
A plane-wave DFT calculation with PBE was carried out for crystalline ThSeI2 at its relaxed geometry.

Results
**Raw formation energy**: -1.2740 eV/atom
**VASP energy**: -4.78 eV/atom
**Size of the total moment**: 0.000 μB/f.u.

Unit cell a=15.7919 b=5.5388 c=4.6499 alpha=90.00 beta=107.04 gamma=90.00
With the nearest neighbours (Å) after each atom.
Space group C2/m (No. 12)
Unique sites:
Th (0.0000, 0.0000, 0.0000) [2 per cell]  2 Se 2.77
Se (0.0000, 0.5000, 0.0000) [2 per cell]  2 Th 2.77
I (0.1440, 0.0000, 0.6434) [4 per cell]  2 Th 3.18

Record 9
A plane-wave DFT calculation with PBE was carried out for crystalline PIrSeO2 at its relaxed geometry.

Results
**Raw formation energy**: 0.5155 eV/atom
**VASP energy**: -5.02 eV/atom
**Size of the total moment**: 0.890 μB/f.u.

Unit cell a=3.6218 b=3.6218 c=5.5635 alpha=90.00 beta=90.00 gamma=90.00
With the nearest neighbours (Å) after each atom.
Space group P4/mmm (No. 123)
Unique sites:
P (0.0000, 0.0000, 0.0000) [1 per cell]  4 Ir 2.56, 2 Se 2.78
Ir (0.5000, 0.5000, 0.0000) [1 per cell]  4 P 2.56
Se (0.0000, 0.0000, 0.5000) [1 per cell]  4 O 1.81
O (0.0000, 0.5000, 0.5000) [2 per cell]  2 Se 1.81

Record 10
A plane-wave DFT calculation with PBE was carried out for crystalline RbPuCu2O8 at its relaxed geometry.

Results
**Raw formation energy**: -0.9291 eV/atom
**VASP energy**: -6.19 eV/atom
**Size of the total moment**: 0.811 μB/f.u.

Unit cell a=6.6902 b=6.6902 c=8.0088 alpha=90.00 beta=90.00 gamma=90.00
With the nearest neighbours (Å) after each atom.
Space group I-4m2 (No. 119)
Unique sites:
Rb (0.0000, 0.0000, 0.0000) [2 per cell]  8 O 2.63-2.87
Pu (0.0000, 0.5000, 0.7500) [2 per cell]  4 O 1.97
Cu (0.0000, 0.0000, 0.5000) [2 per cell]  4 O 2.08
Cu (0.0000, 0.5000, 0.2500) [2 per cell]  4 O 1.92
O (0.0000, 0.2144, 0.6889) [8 per cell]  1 Pu 1.97, 1 Cu 2.08
O (0.0000, 0.3909, 0.0289) [8 per cell]  1 O 1.46

Record 11
A plane-wave DFT calculation with PBE was carried out for crystalline La3PrEr3 at its relaxed geometry.

Results
**VASP energy**: -4.71 eV/atom
**Size of the total moment**: 0.000 μB/f.u.
**Calculated formation energy**: 0.26 eV per formula unit

Unit cell a=9.7798 b=9.7798 c=5.8400 alpha=90.00 beta=90.00 gamma=120.00
With the nearest neighbours (Å) after each atom.
Space group P6_3/m (No. 176)
Unique sites:
La (0.0966, 0.6241, 0.2500) [6 per cell]  3 Pr 3.62-3.72, 5 Er 3.64-3.81, 4 La 3.66-3.70
Pr (0.3333, 0.6667, 0.7500) [2 per cell]  9 La 3.62-3.72, 3 Er 3.77
Er (0.0461, 0.8170, 0.7500) [6 per cell]  6 Er 3.56-3.57, 5 La 3.64-3.81, 1 Pr 3.77

Record 12
A plane-wave DFT calculation with PBE was carried out for crystalline Ga12Sn5Te3 at its relaxed geometry.

Results
**Raw formation energy**: 0.1528 eV/atom
**VASP energy**: -3.14 eV/atom
**Size of the total moment**: 0.000 μB/f.u.

Unit cell a=16.6565 b=16.6565 c=16.6565 alpha=90.00 beta=90.00 gamma=90.00
With the nearest neighbours (Å) after each atom.
Space group Ia-3d (No. 230)
Unique sites:
Ga (0.0112, 0.0730, 0.6544) [96 per cell]  2 Sn 2.76-2.85, 2 Te 3.00-3.03, 1 Ga 3.05
Sn (0.0000, 0.0000, 0.0000) [16 per cell]  6 Ga 2.85
Sn (0.0000, 0.2500, 0.3750) [24 per cell]  4 Ga 2.76
Te (0.0000, 0.2500, 0.1250) [24 per cell]  8 Ga 3.00-3.03

Record 13
A plane-wave DFT calculation with PBE was carried out for crystalline AcTlInSn at its relaxed geometry.

Results
**VASP energy**: -3.55 eV/atom
**Size of the total moment**: 0.000 μB/f.u.
**Calculated formation energy**: -1.00 eV per formula unit

Unit cell a=7.9275 b=7.9275 c=7.9275 alpha=90.00 beta=90.00 gamma=90.00
With the nearest neighbours (Å) after each atom.
Space group F-43m (No. 216)
Unique sites:
Ac (0.0000, 0.0000, 0.0000) [4 per cell]  4 Sn 3.43, 4 Tl 3.43
Tl (0.2500, 0.2500, 0.7500) [4 per cell]  4 Ac 3.43, 4 In 3.43
In (0.0000, 0.0000, 0.5000) [4 per cell]  4 Tl 3.43, 4 Sn 3.43
Sn (0.2500, 0.2500, 0.2500) [4 per cell]  4 Ac 3.43, 4 In 3.43

Record 14
A plane-wave DFT calculation with PBE was carried out for crystalline SrSb2OsI at its relaxed geometry.

Results
**Raw formation energy**: 0.0519 eV/atom
**VASP energy**: -4.49 eV/atom
**Size of the total moment**: 0.000 μB/f.u.

Unit cell a=5.1317 b=5.1317 c=5.9768 alpha=90.00 beta=90.00 gamma=90.00
With the nearest neighbours (Å) after each atom.
Space group P4/mmm (No. 123)
Unique sites:
Sr (0.0000, 0.0000, 0.0000) [1 per cell]  4 I 3.63, 8 Sb 3.94
Sb (0.0000, 0.5000, 0.5000) [2 per cell]  2 Os 2.57
Os (0.5000, 0.5000, 0.5000) [1 per cell]  4 Sb 2.57
I (0.5000, 0.5000, 0.0000) [1 per cell]  2 Os 2.99

Record 15
A plane-wave DFT calculation with PBE was carried out for crystalline Ce6AsIr2I3 at its relaxed geometry.

Results
**Raw formation energy**: -0.9759 eV/atom
**VASP energy**: -6.19 eV/atom
**Size of the total moment**: 6.161 μB/f.u.

Unit cell a=7.3609 b=12.7316 c=8.1203 alpha=90.00 beta=107.55 gamma=90.00
With the nearest neighbours (Å) after each atom.
Space group C2/m (No. 12)
Unique sites:
Ce (0.2161, 0.0000, 0.1913) [4 per cell]  2 Ir 2.82, 1 As 2.96
Ce (0.2381, 0.3262, 0.1932) [8 per cell]  2 Ir 2.82-2.83, 1 As 2.96
As (0.0000, 0.5000, 0.0000) [2 per cell]  6 Ce 2.96
Ir (0.0000, 0.1670, 0.0000) [4 per cell]  6 Ce 2.82-2.83
I (0.0000, 0.0000, 0.5000) [2 per cell]  6 Ce 3.35-3.45
I (0.0000, 0.3382, 0.5000) [4 per cell]  6 Ce 3.38-3.46

Record 16
A plane-wave DFT calculation with PBE was carried out for crystalline Ce2WC3 at its relaxed geometry.

Results
**VASP energy**: -8.84 eV/atom
**Size of the total moment**: 0.001 μB/f.u.
**Calculated formation energy**: -0.55 eV per formula unit

Unit cell a=10.8927 b=5.3500 c=6.5492 alpha=90.00 beta=107.63 gamma=90.00
With the nearest neighbours (Å) after each atom.
Space group C2/c (No. 15)
Unique sites:
Ce (0.1750, 0.0008, 0.0876) [8 per cell]  6 C 2.50-2.72
W (0.0000, 0.4546, 0.2500) [4 per cell]  1 C 1.91
C (0.0000, 0.0973, 0.2500) [4 per cell]  1 W 1.91
C (0.1425, 0.4971, 0.0708) [8 per cell]  2 W 2.22

Record 17
A plane-wave DFT calculation with PBE was carried out for crystalline Ag3BPt4 at its relaxed geometry.

Results
**VASP energy**: -4.89 eV/atom
**Size of the total moment**: 0.000 μB/f.u.
**Calculated formation energy**: 0.30 eV per formula unit

Unit cell a=5.3914 b=7.1432 c=7.2996 alpha=90.00 beta=90.00 gamma=90.00
With the nearest neighbours (Å) after each atom.
Space group Imm2 (No. 44)
Unique sites:
Ag (0.0000, 0.0000, 0.0000) [2 per cell]  2 Ag 2.92, 4 Pt 2.97-3.05
Ag (0.0000, 0.2125, 0.3412) [4 per cell]  7 Pt 2.84-2.97, 2 Ag 2.92-3.04, 2 B 3.16
B (0.0000, 0.5000, 0.9275) [2 per cell]  4 Pt 2.03-2.04
Pt (0.0000, 0.3146, 0.7167) [4 per cell]  1 B 2.03
Pt (0.2502, 0.0000, 0.6373) [4 per cell]  1 B 2.04

Record 18
A plane-wave DFT calculation with PBE was carried out for crystalline LiAsCBr2 at its relaxed geometry.

Results
**Raw formation energy**: 0.6418 eV/atom
**VASP energy**: -3.18 eV/atom
**Size of the total moment**: 0.000 μB/f.u.

Unit cell a=5.2797 b=5.2797 c=4.0186 alpha=90.00 beta=90.00 gamma=90.00
With the nearest neighbours (Å) after each atom.
Space group P4/mmm (No. 123)
Unique sites:
Li (0.0000, 0.0000, 0.0000) [1 per cell]  8 Br 3.32
As (0.5000, 0.5000, 0.0000) [1 per cell]  2 C 2.01
C (0.5000, 0.5000, 0.5000) [1 per cell]  2 As 2.01
Br (0.0000, 0.5000, 0.5000) [2 per cell]  2 C 2.64

Record 19
A plane-wave DFT calculation with PBE was carried out for crystalline CdCoN2 at its relaxed geometry.

Results
**Raw formation energy**: 1.1528 eV/atom
**VASP energy**: -5.02 eV/atom
**Size of the total moment**: 0.506 μB/f.u.

Unit cell a=3.3884 b=3.3884 c=17.6160 alpha=90.00 beta=90.00 gamma=120.00
With the nearest neighbours (Å) after each atom.
Space group R-3m (No. 166, hexagonal axes)
Unique sites:
Cd (0.0000, 0.0000, 0.0000) [3 per cell]  6 N 2.33
Co (0.0000, 0.0000, 0.5000) [3 per cell]  2 N 1.68
N (0.0000, 0.0000, 0.4049) [6 per cell]  1 Co 1.68

Record 20
A plane-wave DFT calculation with PBE was carried out for crystalline Sm2AlIr at its relaxed geometry.

Results
**VASP energy**: -6.12 eV/atom
**Size of the total moment**: 0.000 μB/f.u.
**Calculated formation energy**: -2.45 eV per formula unit

Unit cell a=6.1737 b=3.8776 c=8.7432 alpha=90.00 beta=108.80 gamma=90.00
With the nearest neighbours (Å) after each atom.
Space group P2_1/m (No. 11)
Unique sites:
Sm (0.1969, 0.2500, 0.4065) [2 per cell]  2 Ir 2.89, 3 Al 3.17-3.22
Sm (0.2663, 0.7500, 0.0553) [2 per cell]  3 Ir 2.93-3.10, 3 Al 3.15-3.22
Al (0.3456, 0.7500, 0.7165) [2 per cell]  2 Ir 2.59
Ir (0.1198, 0.2500, 0.7901) [2 per cell]  2 Al 2.59, 2 Sm 2.89